Below is a geometry-optimized HfVNF2 structure, with properties calculated at the PBE+U level.

Output
The energy above the most stable polymorph in this dataset comes out at 0 meV/atom. The calculated density comes out at 6.44 Mg/m³.

Cell: 4.1378 4.1378 4.2353 Å, 90.00 90.00 90.00°
Space group P4/mmm (No. 123)
Asymmetric unit:
Hf: 0.0000 0.0000 0.0000 x1
V: 0.5000 0.5000 0.5000 x1
N: 0.0000 0.0000 0.5000 x1
F: 0.0000 0.5000 0.0000 x2